1.
First-principles (PBE) data for Cr2RhW after structural relaxation, as listed in the Alexandria database.

```
4
Lattice="2.622 0.000 0.000 0.000 3.783 0.000 0.000 0.000 5.501" Properties=species:S:1:pos:R:3 pbc="T T T"
Cr 0.000 0.000 1.305
Cr 0.000 0.000 4.196
Rh 1.311 1.891 0.000
W 1.311 1.891 2.751
```

Summary:
- SG: Pmmm, No. 47
- DOS(E_F): 4.6 states/eV/cell
- ΔE_f: 0.193 eV/atom
- E above lowest polymorph: 0.150 eV per atom

***

2.
First-principles (PBE) data for Li4Cu5Pd after structural relaxation, as listed in the Alexandria database.

```
10
Lattice="-2.096 3.995 4.296 2.096 -3.995 4.296 2.096 3.995 -4.296" Properties=species:S:1:pos:R:3 pbc="T T T"
Li 0.000 0.000 1.501
Li 2.096 2.519 0.000
Li 0.000 1.476 4.296
Li 0.000 0.000 7.092
Cu 2.096 -1.317 2.306
Cu 2.096 1.317 2.306
Cu 0.000 3.995 0.000
Cu 0.000 2.678 1.991
Cu 0.000 5.312 1.991
Pd 2.096 0.000 0.000
```

Summary:
- SG: Immm, No. 71
- DOS(E_F): 1.9 states/eV/cell
- ΔE_f: -0.020 eV/atom

***

3.
First-principles (PBE) data for NaMnBi2 after structural relaxation, as listed in the Alexandria database.

```
4
Lattice="3.450 0.000 0.000 0.000 3.450 0.000 0.000 0.000 8.814" Properties=species:S:1:pos:R:3 pbc="T T T"
Na 0.000 0.000 0.000
Mn 0.000 0.000 4.407
Bi 1.725 1.725 2.521
Bi 1.725 1.725 6.293
```

Summary:
- SG: P4/mmm, No. 123
- DOS(E_F): 2.8 states/eV/cell
- ΔE_f: 0.050 eV/atom
- E above lowest polymorph: 0.025 eV per atom

***

4.
First-principles (PBE) data for Cd7AgRh2 after structural relaxation, as listed in the Alexandria database.

```
10
Lattice="3.955 -6.536 0.000 3.955 6.536 0.000 0.000 0.000 4.951" Properties=species:S:1:pos:R:3 pbc="T T T"
Cd 0.000 0.000 0.000
Cd 2.465 1.560 0.000
Cd 3.955 2.993 2.475
Cd 2.465 -1.560 0.000
Cd 5.445 1.560 0.000
Cd 3.955 -2.993 2.475
Cd 5.445 -1.560 0.000
Ag 3.955 0.000 2.475
Rh 3.955 3.852 0.000
Rh 3.955 -3.852 0.000
```

Summary:
- SG: Cmmm, No. 65
- DOS(E_F): 3.5 states/eV/cell
- ΔE_f: 0.132 eV/atom

***

5.
First-principles (PBE) data for LaTlIn2 after structural relaxation, as listed in the Alexandria database.

```
4
Lattice="-2.387 2.387 5.010 2.387 -2.387 5.010 2.387 2.387 -5.010" Properties=species:S:1:pos:R:3 pbc="T T T"
La 0.000 0.000 0.000
Tl 2.387 0.000 2.505
In 0.000 0.000 5.010
In 0.000 2.387 2.505
```

Summary:
- SG: I-4m2, No. 119
- DOS(E_F): 2.8 states/eV/cell
- ΔE_f: -0.328 eV/atom

***

6.
First-principles (PBE) data for WI4Br after structural relaxation, as listed in the Alexandria database.

```
12
Lattice="8.090 -4.199 0.000 8.090 4.199 0.000 -0.900 0.000 7.070" Properties=species:S:1:pos:R:3 pbc="T T T"
W 0.215 0.000 1.407
W 15.064 0.000 5.663
I 6.429 2.462 0.217
I 2.742 0.000 2.694
I 7.639 2.421 3.535
I 8.849 2.462 6.853
I 6.429 -2.462 0.217
I 7.639 -2.421 3.535
I 12.537 0.000 4.376
I 8.849 -2.462 6.853
Br 4.330 0.000 5.391
Br 10.949 0.000 1.679
```

Summary:
- SG: C2/m, No. 12
- DOS(E_F): 8.5 states/eV/cell
- Energy relative to the elements, uncorrected: 0.0902 eV per atom

***

7.
First-principles (PBE) data for CsSc2OsO8 after structural relaxation, as listed in the Alexandria database.

```
12
Lattice="3.397 -3.424 0.000 3.397 3.424 0.000 0.000 0.000 7.411" Properties=species:S:1:pos:R:3 pbc="T T T"
Cs 0.000 0.000 0.000
Sc 3.397 0.000 2.118
Sc 3.397 0.000 5.293
Os 0.000 0.000 3.705
O 1.341 0.000 2.402
O 1.341 0.000 5.009
O 3.397 1.431 3.705
O 3.397 0.745 0.000
O 3.397 -0.745 0.000
O 3.397 -1.431 3.705
O 5.453 0.000 2.402
O 5.453 0.000 5.009
```

Summary:
- SG: Cmmm, No. 65
- DOS(E_F): 2.4 states/eV/cell
- Energy relative to the elements, uncorrected: -1.8850 eV per atom

***

8.
First-principles (PBE) data for TcHgMo2 after structural relaxation, as listed in the Alexandria database.

```
4
Lattice="-1.990 1.990 4.129 1.990 -1.990 4.129 1.990 1.990 -4.129" Properties=species:S:1:pos:R:3 pbc="T T T"
Tc 0.000 0.000 0.000
Hg 0.000 0.000 4.129
Mo 1.990 0.000 2.064
Mo 0.000 1.990 2.064
```

Summary:
- SG: I4/mmm, No. 139
- DOS(E_F): 2.9 states/eV/cell
- ΔE_f: 0.463 eV/atom

***

9.
First-principles (PBE) data for Cu2NiC2 after structural relaxation, as listed in the Alexandria database.

```
10
Lattice="6.147 0.000 0.000 0.000 6.147 0.000 0.000 0.000 2.528" Properties=species:S:1:pos:R:3 pbc="T T T"
Cu 0.841 2.232 0.000
Cu 2.232 5.306 0.000
Cu 3.914 0.841 0.000
Cu 5.306 3.914 0.000
Ni 0.000 0.000 0.000
Ni 3.073 3.073 0.000
C 1.081 4.155 1.264
C 1.992 1.081 1.264
C 4.155 5.065 1.264
C 5.065 1.992 1.264
```

Summary:
- SG: P4/mbm, No. 127
- DOS(E_F): 6.9 states/eV/cell
- ΔE_f: 1.551 eV/atom
- E above lowest polymorph: 0.407 eV per atom

***

10.
First-principles (PBE) data for BeCo2Mo after structural relaxation, as listed in the Alexandria database.

```
8
Lattice="-3.103 3.103 2.399 3.103 -3.103 2.399 3.103 3.103 -2.399" Properties=species:S:1:pos:R:3 pbc="T T T"
Be 0.000 0.000 0.000
Be 0.000 3.103 1.200
Co 4.655 1.209 -0.600
Co 1.209 1.552 0.600
Co -1.552 1.894 1.799
Co 1.894 1.552 2.999
Mo 3.103 0.000 1.200
Mo 0.000 0.000 2.399
```

Summary:
- SG: I-42d, No. 122
- DOS(E_F): 6.8 states/eV/cell
- ΔE_f: 0.419 eV/atom

***

11.
First-principles (PBE) data for Al2TlAg after structural relaxation, as listed in the Alexandria database.

```
4
Lattice="-2.181 2.181 4.276 2.181 -2.181 4.276 2.181 2.181 -4.276" Properties=species:S:1:pos:R:3 pbc="T T T"
Al 0.000 0.000 0.000
Al 0.000 2.181 2.138
Tl 2.181 0.000 2.138
Ag 0.000 0.000 4.276
```

Summary:
- SG: I-4m2, No. 119
- DOS(E_F): 1.6 states/eV/cell
- ΔE_f: 0.244 eV/atom

***

12.
First-principles (PBE) data for MnRuCl2 after structural relaxation, as listed in the Alexandria database.

```
4
Lattice="4.227 0.000 0.000 0.000 3.145 0.000 -2.056 0.000 4.831" Properties=species:S:1:pos:R:3 pbc="T T T"
Mn 0.000 0.000 0.000
Ru 1.086 1.573 2.415
Cl -1.028 0.000 2.415
Cl 2.113 1.573 0.000
```

Summary:
- SG: P2/m, No. 10
- DOS(E_F): 2.9 states/eV/cell
- Energy relative to the elements, uncorrected: 0.2902 eV per atom
- E above lowest polymorph: 0.445 eV per atom